LaY2Cd (PBE, relaxed); symmetry = Pmmm; DOS(E_F) = 1.5039 states/eV per atom; volume = 122.7 Å³ per cell; ΔE_f = -0.07 eV per atom
1.0
3.868 0.000 0.000
0.000 5.539 0.000
0.000 0.000 5.727
La Y Cd
1 2 1
Direct
0.000 0.000 0.000 La
0.000 0.500 0.500 Y
0.500 0.500 0.000 Y
0.500 0.000 0.500 Cd

=====

LaY5Cd (PBE, relaxed); symmetry = C2/c; DOS(E_F) = 1.5056 states/eV per atom; volume = 455.4 Å³ per cell; ΔE_f = 0.10 eV per atom
1.0
5.714 -3.324 0.000
5.714 3.324 0.000
-2.816 0.000 11.988
La Y Cd
2 10 2
Direct
0.193 0.807 0.750 La
0.807 0.193 0.250 La
0.161 0.309 0.667 Y
0.278 0.416 0.947 Y
0.296 0.704 0.250 Y
0.309 0.161 0.167 Y
0.416 0.278 0.447 Y
0.584 0.722 0.553 Y
0.691 0.839 0.833 Y
0.704 0.296 0.750 Y
0.722 0.584 0.053 Y
0.839 0.691 0.333 Y
0.000 0.000 0.000 Cd
0.000 0.000 0.500 Cd

=====

La2YCd2 (PBE, relaxed); distance to the lowest polymorph of the same formula = 175 meV/atom; symmetry = P4/mbm; DOS(E_F) = 1.3317 states/eV per atom; volume = 307.2 Å³ per cell; ΔE_f = -0.08 eV per atom
1.0
9.216 0.000 0.000
0.000 9.216 0.000
0.000 0.000 3.616
La Y Cd
4 2 4
Direct
0.118 0.382 0.000 La
0.382 0.882 0.000 La
0.618 0.118 0.000 La
0.882 0.618 0.000 La
0.000 0.000 0.000 Y
0.500 0.500 0.000 Y
0.177 0.677 0.500 Cd
0.323 0.177 0.500 Cd
0.677 0.823 0.500 Cd
0.823 0.323 0.500 Cd

=====

LaY2Cd (PBE, relaxed); symmetry = I4/mmm; DOS(E_F) = 1.3988 states/eV per atom; volume = 242.4 Å³ per cell; ΔE_f = -0.05 eV per atom
1.0
4.898 0.000 0.000
0.000 4.898 0.000
0.000 0.000 10.103
La Y Cd
2 4 2
Direct
0.000 0.000 0.000 La
0.500 0.500 0.500 La
0.000 0.500 0.250 Y
0.000 0.500 0.750 Y
0.500 0.000 0.250 Y
0.500 0.000 0.750 Y
0.000 0.000 0.500 Cd
0.500 0.500 0.000 Cd

=====

LaY2Cd (PBE, relaxed); symmetry = R-3m; DOS(E_F) = 1.1738 states/eV per atom; volume = 377.5 Å³ per cell; ΔE_f = -0.09 eV per atom
1.0
3.654 0.000 0.000
-1.827 3.164 0.000
0.000 0.000 32.651
La Y Cd
3 6 3
Direct
0.000 0.000 0.000 La
0.333 0.667 0.667 La
0.667 0.333 0.333 La
0.000 0.000 0.242 Y
0.000 0.000 0.758 Y
0.333 0.667 0.425 Y
0.333 0.667 0.908 Y
0.667 0.333 0.092 Y
0.667 0.333 0.575 Y
0.000 0.000 0.500 Cd
0.333 0.667 0.167 Cd
0.667 0.333 0.833 Cd

=====

La2Y3Cd3 (PBE, relaxed); symmetry = Immm; DOS(E_F) = 1.0798 states/eV per atom; volume = 467.9 Å³ per cell; ΔE_f = -0.24 eV per atom
1.0
3.828 0.000 0.000
0.000 5.343 0.000
0.000 0.000 22.879
La Y Cd
4 6 6
Direct
0.000 0.000 0.230 La
0.000 0.000 0.770 La
0.500 0.500 0.270 La
0.500 0.500 0.730 La
0.000 0.000 0.000 Y
0.000 0.500 0.118 Y
0.000 0.500 0.882 Y
0.500 0.000 0.382 Y
0.500 0.000 0.618 Y
0.500 0.500 0.500 Y
0.000 0.000 0.500 Cd
0.000 0.500 0.389 Cd
0.000 0.500 0.611 Cd
0.500 0.000 0.111 Cd
0.500 0.000 0.889 Cd
0.500 0.500 0.000 Cd

=====

La5Y2Cd (PBE, relaxed); symmetry = Cm; DOS(E_F) = 1.2744 states/eV per atom; volume = 537.5 Å³ per cell; ΔE_f = -0.06 eV per atom
1.0
7.351 0.000 0.000
0.000 11.506 0.000
-3.676 0.000 6.354
La Y Cd
10 4 2
Direct
0.000 0.000 0.000 La
0.015 0.000 0.481 La
0.154 0.249 0.807 La
0.154 0.751 0.807 La
0.466 0.000 0.482 La
0.500 0.500 0.000 La
0.515 0.500 0.481 La
0.654 0.251 0.807 La
0.654 0.749 0.807 La
0.966 0.500 0.482 La
0.149 0.266 0.297 Y
0.149 0.734 0.297 Y
0.649 0.234 0.297 Y
0.649 0.766 0.297 Y
0.494 0.000 0.987 Cd
0.994 0.500 0.987 Cd

=====

La6Y3Cd (PBE, relaxed); symmetry = P2_1/m; DOS(E_F) = 1.6272 states/eV per atom; volume = 685.9 Å³ per cell; ΔE_f = -0.02 eV per atom
1.0
11.297 0.000 0.000
0.000 5.231 0.000
-0.471 0.000 11.606
La Y Cd
12 6 2
Direct
0.045 0.250 0.392 La
0.138 0.750 0.186 La
0.154 0.250 0.689 La
0.236 0.250 0.993 La
0.348 0.750 0.799 La
0.451 0.250 0.602 La
0.549 0.750 0.398 La
0.652 0.250 0.201 La
0.764 0.750 0.007 La
0.846 0.750 0.311 La
0.862 0.250 0.814 La
0.955 0.750 0.608 La
0.248 0.750 0.491 Y
0.347 0.250 0.295 Y
0.450 0.750 0.099 Y
0.550 0.250 0.901 Y
0.653 0.750 0.705 Y
0.752 0.250 0.509 Y
0.054 0.750 0.893 Cd
0.946 0.250 0.107 Cd

=====

LaY2Cd9 (PBE, relaxed); symmetry = R-3m; DOS(E_F) = 0.7335 states/eV per atom; volume = 295.4 Å³ per cell; ΔE_f = -0.26 eV per atom
1.0
2.991 1.727 9.529
-2.991 1.727 9.529
0.000 -3.454 9.529
La Y Cd
1 2 9
Direct
0.000 0.000 0.000 La
0.142 0.142 0.142 Y
0.858 0.858 0.858 Y
0.077 0.590 0.590 Cd
0.335 0.335 0.335 Cd
0.410 0.410 0.923 Cd
0.410 0.923 0.410 Cd
0.500 0.500 0.500 Cd
0.590 0.077 0.590 Cd
0.590 0.590 0.077 Cd
0.665 0.665 0.665 Cd
0.923 0.410 0.410 Cd

=====

LaYCd3 (PBE, relaxed); distance to the lowest polymorph of the same formula = 0 meV/atom; symmetry = Cmcm; DOS(E_F) = 0.9875 states/eV per atom; volume = 270.1 Å³ per cell; ΔE_f = -0.34 eV per atom
1.0
1.784 -14.956 0.000
1.784 14.956 0.000
0.000 0.000 5.061
La Y Cd
2 2 6
Direct
0.076 0.924 0.750 La
0.924 0.076 0.250 La
0.214 0.786 0.250 Y
0.786 0.214 0.750 Y
0.321 0.679 0.250 Cd
0.376 0.624 0.750 Cd
0.476 0.524 0.750 Cd
0.524 0.476 0.250 Cd
0.624 0.376 0.250 Cd
0.679 0.321 0.750 Cd

=====

LaY2Cd (PBE, relaxed); symmetry = Cmmm; DOS(E_F) = 1.4108 states/eV per atom; volume = 241.1 Å³ per cell; ΔE_f = -0.04 eV per atom
1.0
7.245 0.000 0.000
0.000 9.034 0.000
0.000 0.000 3.684
La Y Cd
2 4 2
Direct
0.000 0.000 0.000 La
0.500 0.500 0.000 La
0.250 0.250 0.500 Y
0.250 0.750 0.500 Y
0.750 0.250 0.500 Y
0.750 0.750 0.500 Y
0.000 0.500 0.000 Cd
0.500 0.000 0.000 Cd

=====

LaY2Cd (PBE, relaxed); symmetry = P4/mmm; DOS(E_F) = 1.5266 states/eV per atom; volume = 118.3 Å³ per cell; ΔE_f = -0.04 eV per atom
1.0
5.600 0.000 0.000
0.000 5.600 0.000
0.000 0.000 3.772
La Y Cd
1 2 1
Direct
0.000 0.000 0.000 La
0.000 0.500 0.500 Y
0.500 0.000 0.500 Y
0.500 0.500 0.000 Cd